Entry 1:
Cd2CuSe, relaxed, DFT PBE; ρ = 7.59 g/cm3; space group = P2/m
1.0
3.767 0.000 0.000
0.000 3.673 0.000
-0.922 0.000 5.809
Cd Cu Se
2 1 1
direct
0.016 0.000 0.264
0.984 0.000 0.736
0.500 0.500 0.500
0.500 0.500 0.000

Entry 2:
CdCuSe2, relaxed, DFT PBE; ρ = 6.60 g/cm3; space group = Cmm2
1.0
1.905 -2.227 0.000
1.905 2.227 0.000
0.000 0.000 9.897
Cd Cu Se
1 1 2
direct
0.000 0.000 0.000
0.500 0.500 0.798
0.000 0.000 0.622
0.500 0.500 0.249

Entry 3:
Cd2CuSe, relaxed, DFT PBE; ρ = 7.20 g/cm3; space group = P4mm
1.0
3.826 0.000 0.000
0.000 3.826 0.000
0.000 0.000 5.784
Cd Cu Se
2 1 1
direct
0.000 0.000 0.000
0.500 0.500 0.341
0.000 0.000 0.464
0.500 0.500 0.828

Entry 4:
CdCu2SiSe4, relaxed, DFT PBE; ρ = 5.24 g/cm3; space group = Pmn2_1
1.0
8.102 0.000 0.000
0.000 6.886 0.000
0.000 0.000 6.634
Cd Cu Si Se
2 4 2 8
direct
0.000 0.151 0.000
0.500 0.849 0.500
0.248 0.324 0.505
0.252 0.676 0.005
0.748 0.676 0.005
0.752 0.324 0.505
0.000 0.822 0.498
0.500 0.178 0.998
0.000 0.148 0.406
0.000 0.792 0.848
0.228 0.656 0.370
0.272 0.344 0.870
0.500 0.208 0.348
0.500 0.852 0.906
0.728 0.344 0.870
0.772 0.656 0.370

Entry 5:
CdCu2TcSe, relaxed, DFT PBE; ρ = 7.24 g/cm3; space group = P4/mmm
1.0
4.503 0.000 0.000
0.000 4.503 0.000
0.000 0.000 4.711
Cd Cu Tc Se
1 2 1 1
direct
0.000 0.000 0.000
0.000 0.500 0.500
0.500 0.000 0.500
0.500 0.500 0.000
0.500 0.500 0.500

Entry 6:
TiCd2CuSe, relaxed, DFT PBE; ρ = 6.10 g/cm3; space group = P4/mmm
1.0
4.878 0.000 0.000
0.000 4.878 0.000
0.000 0.000 4.749
Ti Cd Cu Se
1 2 1 1
direct
0.000 0.000 0.000
0.000 0.500 0.500
0.500 0.000 0.500
0.000 0.000 0.500
0.500 0.500 0.000

no.,ΔE_f (raw) (eV per atom)
1,0.054
2,0.170
3,0.065
4,-0.386
5,0.674
6,0.336